DFT (PBE) results for a geometry-optimized Th5ScSe6 structure.

```
Th5ScSe6
1.0
-6.104 -0.556 -3.699
-0.920 -6.874 -2.113
-3.542 -4.644 4.212
Th Sc Se
5 1 6
direct
0.500 0.500 0.000
0.000 0.336 0.328
0.500 0.177 0.646
0.000 0.664 0.672
0.500 0.823 0.354
0.000 0.000 0.000
0.250 0.230 0.000
0.766 0.391 0.685
0.750 0.770 0.000
0.234 0.924 0.685
0.234 0.609 0.315
0.766 0.076 0.315
```

Size of the total moment ... 0.00 μB per cell
E_form (uncorrected) ... -1.53 eV per atom
ρ ... 9.154 g cm⁻³



DFT (PBE) results for a geometry-optimized CdS2ClO structure.

```
CdS2ClO
1.0
5.237 0.000 0.000
0.000 5.237 0.000
0.000 0.000 5.133
S O Cl Cd
2 1 1 1
direct
0.000 0.500 0.000
0.500 0.000 0.000
0.500 0.500 0.500
0.000 0.000 0.500
0.000 0.000 0.000
```

Size of the total moment ... 3.19 μB per cell
E_form (uncorrected) ... 1.10 eV per atom
ρ ... 2.689 g cm⁻³



DFT (PBE) results for a geometry-optimized Li2TlSe structure.

```
Li2TlSe
1.0
3.521 0.000 0.000
0.000 3.516 0.162
0.000 3.203 6.748
Se Li Tl
1 2 1
direct
0.500 0.250 0.250
0.000 0.562 0.436
0.000 0.938 0.064
0.500 0.750 0.750
```

Size of the total moment ... 0.00 μB per cell
E_form (uncorrected) ... -0.62 eV per atom
ρ ... 6.039 g cm⁻³



DFT (PBE) results for a geometry-optimized Sm3Dy7Th structure.

```
Sm3Dy7Th
1.0
8.701 0.000 0.000
0.000 7.060 0.000
0.000 -3.530 6.114
Dy Sm Th
7 3 1
direct
0.122 0.169 0.831
0.447 0.833 0.665
0.447 0.335 0.167
0.122 0.169 0.338
0.119 0.667 0.333
0.122 0.662 0.831
0.447 0.833 0.167
0.781 0.498 0.996
0.781 0.498 0.502
0.781 0.004 0.502
0.447 0.333 0.667
```

Calculated formation energy ... 0.180 eV per atom
Size of the total moment ... 0.00 μB per cell
ρ ... 8.050 g cm⁻³